Entry 1:
# Ho12Er7Mg GGA-PBE optimized geometry
data_Ho12Er7Mg
_chemical_formula_sum 'Ho36 Er21 Mg3'
_cell_length_a 11.8042
_cell_length_b 11.8042
_cell_length_c 15.7425
_cell_angle_alpha 90.00
_cell_angle_beta 90.00
_cell_angle_gamma 120.00
_space_group_name_H-M_alt 'R -3'
_space_group_IT_number 148
_space_group_name_Hall '-R 3'
loop_
_atom_site_label
_atom_site_fract_x
_atom_site_fract_y
_atom_site_fract_z
_atom_site_occupancy
Ho1 0.0310 0.5745 0.2189 1
Ho2 0.0532 0.4667 0.5838 1
Er1 0.0000 0.0000 0.0000 1
Er2 0.0558 0.8658 0.2937 1
Mg1 0.0000 0.0000 0.5000 1
# E_form = 0.22 eV per atom
# Polymorph energy (0 for the lowest one) = 0 kJ/mol of formula units
# D(E_F) = 30.07 states/eV/f.u.

Entry 2:
# Ho7ErMg2 GGA-PBE optimized geometry
data_Ho7ErMg2
_chemical_formula_sum 'Ho14 Er2 Mg4'
_cell_length_a 8.752
_cell_length_b 16.322
_cell_length_c 5.181
_cell_angle_alpha 90.00
_cell_angle_beta 90.00
_cell_angle_gamma 90.00
_space_group_name_H-M_alt 'C m m m'
_space_group_IT_number 65
_space_group_name_Hall '-C 2 2'
loop_
_atom_site_label
_atom_site_fract_x
_atom_site_fract_y
_atom_site_fract_z
_atom_site_occupancy
Ho1 0.000 0.000 0.000 1
Ho2 0.000 0.292 0.500 1
Ho3 0.182 0.388 0.000 1
Er1 0.000 0.500 0.500 1
Mg1 0.000 0.200 0.000 1
# E_form = 0.58 eV per atom
# D(E_F) = 16.73 states/eV/f.u.